Record 1
{"formula": "SrLaMnSbO6", "functional": "PBE with a Hubbard U", "state": "relaxed", "e_tot_ev_per_atom": -7.197, "rho_g_cm3": 6.06, "cell": [[5.733, 0.000, 0.000], [0.000, 5.852, 0.000], [-5.730, 0.000, 8.156]], "species": ["Sr", "Sr", "La", "La", "Mn", "Mn", "Sb", "Sb", "O", "O", "O", "O", "O", "O", "O", "O", "O", "O", "O", "O"], "frac_coords": [[0.000, 0.212, 0.000], [0.000, 0.788, 0.500], [0.477, 0.300, 0.498], [0.477, 0.700, 0.998], [0.241, 0.245, 0.750], [0.241, 0.755, 0.250], [0.742, 0.248, 0.251], [0.742, 0.752, 0.751], [0.076, 0.057, 0.299], [0.076, 0.943, 0.799], [0.425, 0.454, 0.210], [0.425, 0.546, 0.710], [0.505, 0.038, 0.700], [0.505, 0.962, 0.200], [0.581, 0.283, 0.011], [0.581, 0.717, 0.511], [0.882, 0.224, 0.489], [0.882, 0.776, 0.989], [0.995, 0.478, 0.800], [0.995, 0.522, 0.300]]}

Record 2
{"formula": "LaMnSeO2", "functional": "PBE with a Hubbard U", "state": "relaxed", "e_tot_ev_per_atom": -7.255, "rho_g_cm3": 5.44, "cell": [[2.823, -5.982, 0.000], [2.823, 5.982, 0.000], [0.000, 0.000, 5.507]], "species": ["La", "La", "Mn", "Mn", "Se", "Se", "O", "O", "O", "O"], "frac_coords": [[0.130, 0.870, 0.750], [0.870, 0.130, 0.250], [0.493, 0.507, 0.750], [0.507, 0.493, 0.250], [0.261, 0.739, 0.250], [0.739, 0.261, 0.750], [0.262, 0.262, 0.000], [0.262, 0.262, 0.500], [0.738, 0.738, 0.000], [0.738, 0.738, 0.500]]}